(1)
! PBE-GGA Sm6P3S2I, optimized geometry; values from VASP
! Total DFT energy (no corrections) in eV/f.u.: -74.11
! SG: No. 12
! Theoretical density in g cm⁻³: 6.52
! Formation energy without anion corrections in eV per formula unit: -19.76
&SYSTEM
  ibrav = 0, nat = 12, ntyp = 4
/
ATOMIC_SPECIES
Sm 150.36 Sm.upf
P 30.97 P.upf
S 32.06 S.upf
I 126.90 I.upf
CELL_PARAMETERS angstrom
-1.209 3.258 2.180
-7.996 -1.783 -1.769
2.255 -6.152 6.587
ATOMIC_POSITIONS angstrom
Sm -1.230 -3.397 8.255
P -6.121 -2.954 1.021
S -4.841 -2.569 5.015
I -0.604 1.629 1.090
P -4.602 0.738 0.205
Sm -0.682 -0.151 3.708
P -0.828 -1.723 5.977
Sm -4.776 -0.913 2.575
Sm -2.173 -3.765 4.422
S -2.108 -2.108 1.982
Sm -5.720 -1.281 -1.258
Sm -6.267 -4.526 3.290

(2)
! PBE-GGA Ac2MoN6, optimized geometry; values from VASP
! Total DFT energy (no corrections) in eV/f.u.: -66.50
! SG: No. 225
! Theoretical density in g cm⁻³: 8.17
! Formation energy without anion corrections in eV per formula unit: 2.50
&SYSTEM
  ibrav = 0, nat = 9, ntyp = 3
/
ATOMIC_SPECIES
Ac 227.00 Ac.upf
N 14.01 N.upf
Mo 95.94 Mo.upf
CELL_PARAMETERS angstrom
-2.057 4.874 -2.038
-5.600 0.723 -0.503
-2.715 3.592 3.445
ATOMIC_POSITIONS angstrom
Ac -7.780 6.891 0.678
N -3.611 4.735 -0.801
N -4.978 6.543 0.933
N -6.430 5.099 -1.055
N -5.395 2.646 -0.029
N -6.762 4.453 1.705
N -3.943 4.089 1.959
Mo 0.000 0.000 0.000
Ac -2.593 2.297 0.226

(3)
! PBE-GGA BaZr2Pt, optimized geometry; values from VASP
! Total DFT energy (no corrections) in eV/f.u.: -23.73
! Energy above the lowest structure with this stoichiometry in meV/atom: 620
! SG: No. 141
! Theoretical density in g cm⁻³: 6.19
&SYSTEM
  ibrav = 0, nat = 8, ntyp = 3
/
ATOMIC_SPECIES
Zr 91.22 Zr.upf
Ba 137.33 Ba.upf
Pt 195.08 Pt.upf
CELL_PARAMETERS angstrom
-4.311 -2.491 2.129
-1.026 -2.316 -4.787
2.742 -9.729 1.055
ATOMIC_POSITIONS angstrom
Zr -3.729 -6.060 -0.864
Zr 0.311 -8.521 0.991
Ba -0.476 -7.224 -2.530
Zr -3.215 -4.901 1.528
Pt -2.119 -7.312 0.928
Pt 0.000 0.000 0.000
Ba -2.669 -2.403 -1.329
Zr -1.844 -9.766 2.057

(4)
! PBE-GGA Cs3DyBi2Se6, optimized geometry; values from VASP
! Total DFT energy (no corrections) in eV/f.u.: -49.01
! SG: No. 12
! Theoretical density in g cm⁻³: 5.85
! Formation energy without anion corrections in eV per formula unit: -13.18
&SYSTEM
  ibrav = 0, nat = 12, ntyp = 4
/
ATOMIC_SPECIES
Se 78.96 Se.upf
Cs 132.91 Cs.upf
Dy 162.50 Dy.upf
Bi 208.98 Bi.upf
CELL_PARAMETERS angstrom
7.548 0.000 0.001
-3.773 6.538 0.001
-1.258 -2.178 8.360
ATOMIC_POSITIONS angstrom
Se 0.059 4.360 6.783
Cs 1.259 2.179 4.181
Dy 0.000 0.000 0.000
Se 2.458 -0.001 1.579
Bi 3.771 2.181 0.001
Se -1.229 2.129 1.579
Se 2.546 4.408 1.588
Se -0.028 -0.049 6.774
Cs 5.005 0.016 4.181
Se 3.747 2.230 6.783
Cs -2.487 4.343 4.181
Bi 0.004 4.356 0.001

(5)
! PBE-GGA NaSrSnI5, optimized geometry; values from VASP
! Total DFT energy (no corrections) in eV/f.u.: -23.07
! SG: No. 15
! Theoretical density in g cm⁻³: 3.69
! Formation energy without anion corrections in eV per formula unit: -8.31
&SYSTEM
  ibrav = 0, nat = 16, ntyp = 4
/
ATOMIC_SPECIES
Na 22.99 Na.upf
I 126.90 I.upf
Sr 87.62 Sr.upf
Sn 118.71 Sn.upf
CELL_PARAMETERS angstrom
-7.356 -1.493 -4.572
3.396 -7.850 2.023
-3.390 4.990 10.337
ATOMIC_POSITIONS angstrom
Na -2.622 -2.053 7.645
I -5.561 -1.546 8.269
I -7.793 -2.651 5.010
I 1.242 -5.830 3.807
Sr -1.695 2.495 5.168
Sn -1.369 -4.286 2.205
I -2.992 -0.602 4.990
Sn -5.981 -0.067 5.584
I -8.593 1.477 3.982
I -4.906 2.953 5.706
Sr 0.000 0.000 0.000
I 0.442 -1.702 2.778
Na -4.729 -2.300 0.144
I -1.790 -2.806 -0.480
I -2.445 -7.306 2.083
I -4.359 -3.750 2.798

(6)
! PBE-GGA TbYMgZn, optimized geometry; values from VASP
! Total DFT energy (no corrections) in eV/f.u.: -14.72
! Energy above the lowest structure with this stoichiometry in meV/atom: 30
! SG: No. 216
! Theoretical density in g cm⁻³: 5.60
&SYSTEM
  ibrav = 0, nat = 4, ntyp = 4
/
ATOMIC_SPECIES
Mg 24.30 Mg.upf
Tb 158.93 Tb.upf
Zn 65.41 Zn.upf
Y 88.91 Y.upf
CELL_PARAMETERS angstrom
5.210 0.000 0.000
2.605 4.512 0.000
2.605 1.504 4.254
ATOMIC_POSITIONS angstrom
Mg 5.210 3.008 2.127
Tb 7.815 4.512 3.191
Zn 0.000 0.000 0.000
Y 2.605 1.504 1.064

(7)
! PBE-GGA TbPr2Nd7, optimized geometry; values from VASP
! Total DFT energy (no corrections) in eV/f.u.: -43.90
! Energy above the lowest structure with this stoichiometry in meV/atom: 223
! SG: No. 65
! Theoretical density in g cm⁻³: 6.52
&SYSTEM
  ibrav = 0, nat = 10, ntyp = 3
/
ATOMIC_SPECIES
Nd 144.24 Nd.upf
Pr 140.91 Pr.upf
Tb 158.93 Tb.upf
CELL_PARAMETERS angstrom
-2.501 -0.630 -2.481
6.596 3.180 -7.455
1.170 -10.285 1.430
ATOMIC_POSITIONS angstrom
Nd 3.856 -7.298 -4.615
Pr 4.422 0.574 -7.184
Nd 0.048 -3.815 -1.661
Nd 5.217 -3.919 -6.845
Nd 2.633 -3.867 -4.253
Nd 1.410 -0.436 -3.891
Nd 4.834 -1.192 -4.570
Tb 0.000 0.000 0.000
Nd 2.932 -5.913 -1.455
Pr 0.843 -8.308 -1.323

(8)
! PBE-GGA Y12Cu3H5, optimized geometry; values from VASP
! Total DFT energy (no corrections) in eV/f.u.: -111.11
! SG: No. 230
! Theoretical density in g cm⁻³: 4.81
&SYSTEM
  ibrav = 0, nat = 80, ntyp = 3
/
ATOMIC_SPECIES
H 1.01 H.upf
Y 88.91 Y.upf
Cu 63.55 Cu.upf
CELL_PARAMETERS angstrom
-2.744 12.722 1.786
-8.635 -7.320 6.665
12.141 -2.512 4.341
ATOMIC_POSITIONS angstrom
H 4.699 5.105 3.064
Y 3.903 -1.399 3.521
Y -3.141 4.289 9.272
Y 2.454 4.227 2.207
Y -4.349 0.098 8.719
H -6.724 -3.539 6.821
Y -1.692 -1.337 10.585
Y -0.426 -0.904 5.786
H 7.486 6.428 5.971
Y 4.181 9.255 4.917
Y -6.134 0.794 5.871
Y 3.459 -5.272 10.656
Y -6.655 -5.702 6.693
Y 0.160 2.251 3.979
Cu -7.360 5.328 7.104
H 0.381 1.445 6.396
Y -2.751 -2.849 7.553
Y -5.378 -2.600 5.405
Cu 0.083 -2.289 8.382
Y -4.786 4.216 6.078
Cu -3.391 -0.432 5.921
H 3.029 7.732 5.942
Cu 8.122 -2.438 5.688
Y 0.663 -0.704 2.368
Y 6.140 5.490 7.388
Y 3.513 5.739 5.239
H -1.372 6.361 0.893
H -2.266 -4.842 6.850
H -0.546 -1.783 3.808
H 2.432 0.263 9.913
Cu 4.541 -3.593 8.410
Y 2.813 0.847 5.875
Y -5.499 7.620 6.540
Y 10.543 -0.720 5.220
Cu 2.788 1.323 2.908
Cu 0.679 5.179 4.410
H 6.998 1.972 4.759
Y 4.145 1.212 8.984
Cu 4.153 3.322 6.871
Cu -2.025 1.566 9.885
Y 7.417 8.591 6.099
Y 2.393 -2.661 6.527
Y -1.630 5.551 6.266
Y 1.188 3.794 7.006
H 6.071 -1.256 2.170
Y 5.111 2.791 4.073
Y -3.419 -6.365 7.875
Y -0.140 -5.051 7.217
Cu 1.207 -6.699 9.311
H 1.753 -4.916 5.503
Y 3.273 -6.027 7.234
Y 2.621 -1.896 9.943
Y 5.548 -1.326 6.714
Y 0.602 0.639 8.813
Y 0.902 7.941 5.575
H 0.000 0.000 0.000
H 3.664 -1.135 5.659
Y 7.291 -0.065 4.077
Y 0.705 7.145 2.163
H -6.235 0.918 8.033
Y 6.896 2.096 6.921
Y -2.696 8.162 2.136
H -2.902 4.024 7.133
H -4.318 -3.660 3.332
Y -2.654 -1.718 3.306
Y 6.262 -4.730 6.252
Y 3.416 4.607 9.486
H -1.670 2.627 2.879
Cu -0.445 9.589 3.481
H -5.690 2.701 4.226
Cu -3.779 6.482 4.382
Y 0.057 -4.255 10.629
Y -2.511 8.916 5.558
H 1.308 4.673 8.984
Y -6.529 2.955 8.715
Y -9.781 3.609 7.572
Y 0.099 3.593 10.424
Y -1.858 4.786 2.849
Y -3.383 1.677 3.808
Y -2.051 2.042 6.917

(9)
! PBE-GGA Sn2GeTe4, optimized geometry; values from VASP
! Total DFT energy (no corrections) in eV/f.u.: -25.23
! Energy above the lowest structure with this stoichiometry in meV/atom: 140
! SG: No. 121
! Theoretical density in g cm⁻³: 4.69
! Formation energy without anion corrections in eV per formula unit: -0.04
&SYSTEM
  ibrav = 0, nat = 7, ntyp = 3
/
ATOMIC_SPECIES
Sn 118.71 Sn.upf
Ge 72.64 Ge.upf
Te 127.60 Te.upf
CELL_PARAMETERS angstrom
7.637 0.000 0.000
0.000 7.637 0.000
-3.818 -3.818 4.980
ATOMIC_POSITIONS angstrom
Sn 0.000 3.818 2.490
Ge 3.818 3.818 0.000
Te -1.727 -1.727 3.943
Te 5.545 2.092 1.037
Te 1.727 1.727 3.943
Sn 3.818 0.000 2.490
Te 2.092 5.545 1.037

(10)
! PBE-GGA LiSm2HoTe4, optimized geometry; values from VASP
! Total DFT energy (no corrections) in eV/f.u.: -39.20
! SG: No. 10
! Theoretical density in g cm⁻³: 6.89
! Formation energy without anion corrections in eV per formula unit: -10.70
&SYSTEM
  ibrav = 0, nat = 8, ntyp = 4
/
ATOMIC_SPECIES
Te 127.60 Te.upf
Ho 164.93 Ho.upf
Sm 150.36 Sm.upf
Li 6.94 Li.upf
CELL_PARAMETERS angstrom
-2.227 3.686 -0.658
-2.641 -0.331 7.082
6.515 3.927 -0.053
ATOMIC_POSITIONS angstrom
Te 4.315 2.914 1.719
Ho -2.434 1.677 3.212
Sm 1.937 1.798 3.514
Li 0.000 0.000 0.000
Te 1.865 4.595 5.007
Te -0.218 2.686 1.363
Sm 2.144 3.806 -0.356
Te -0.441 0.682 5.310

(11)
! PBE-GGA Pm2AgPtO5, optimized geometry; values from VASP
! Total DFT energy (no corrections) in eV/f.u.: -60.35
! SG: No. 127
! Theoretical density in g cm⁻³: 8.35
! Formation energy without anion corrections in eV per formula unit: -17.16
&SYSTEM
  ibrav = 0, nat = 18, ntyp = 4
/
ATOMIC_SPECIES
O 16.00 O.upf
Ag 107.87 Ag.upf
Pm 145.00 Pm.upf
Pt 195.08 Pt.upf
CELL_PARAMETERS angstrom
5.786 0.000 0.000
0.000 6.801 0.000
0.000 0.000 6.801
ATOMIC_POSITIONS angstrom
O 4.297 0.915 4.316
Ag 0.000 0.000 0.000
O 4.297 5.885 2.485
O 2.893 3.400 3.400
O 1.490 2.485 0.915
Ag 0.000 3.400 3.400
Pm 2.893 1.200 2.200
O 2.893 0.000 0.000
O 4.297 2.485 0.915
Pm 2.893 2.200 5.600
Pm 2.893 5.600 4.601
O 1.490 5.885 2.485
Pt 0.000 3.400 0.000
O 4.297 4.316 5.885
Pm 2.893 4.601 1.200
Pt 0.000 0.000 3.400
O 1.490 0.915 4.316
O 1.490 4.316 5.885

(12)
! PBE-GGA Ba3Li2In2Bi4, optimized geometry; values from VASP
! Total DFT energy (no corrections) in eV/f.u.: -37.27
! SG: No. 164
! Theoretical density in g cm⁻³: 6.27
&SYSTEM
  ibrav = 0, nat = 11, ntyp = 4
/
ATOMIC_SPECIES
Bi 208.98 Bi.upf
Li 6.94 Li.upf
Ba 137.33 Ba.upf
In 114.82 In.upf
CELL_PARAMETERS angstrom
-4.160 -3.162 -0.293
2.931 0.074 4.335
-9.610 12.058 6.290
ATOMIC_POSITIONS angstrom
Bi -7.755 9.438 8.239
Bi -3.172 3.688 5.240
Li -0.725 0.617 3.639
Bi -7.667 5.283 5.092
Ba 0.000 0.000 0.000
In -4.908 5.867 6.377
Ba -2.600 3.262 1.702
In -5.930 3.104 3.956
Li -10.113 8.353 6.694
Ba -7.010 8.796 4.588
Bi -3.084 -0.467 2.093

(13)
! PBE-GGA NaTlC, optimized geometry; values from VASP
! Total DFT energy (no corrections) in eV/f.u.: -11.88
! SG: No. 2
! Theoretical density in g cm⁻³: 5.51
&SYSTEM
  ibrav = 0, nat = 6, ntyp = 3
/
ATOMIC_SPECIES
C 12.01 C.upf
Tl 204.38 Tl.upf
Na 22.99 Na.upf
CELL_PARAMETERS angstrom
3.554 0.001 0.002
-0.097 6.756 0.021
-0.011 -1.821 6.004
ATOMIC_POSITIONS angstrom
C 1.726 3.005 2.684
Tl 1.738 5.140 1.563
Na 3.505 1.533 1.461
Tl 1.708 -0.204 4.463
Na -0.058 3.403 4.566
C 1.720 1.931 3.343

(14)
! PBE-GGA La2ThTl, optimized geometry; values from VASP
! Total DFT energy (no corrections) in eV/f.u.: -19.59
! Energy above the lowest structure with this stoichiometry in meV/atom: 208
! SG: No. 225
! Theoretical density in g cm⁻³: 9.17
&SYSTEM
  ibrav = 0, nat = 4, ntyp = 3
/
ATOMIC_SPECIES
La 138.91 La.upf
Th 232.04 Th.upf
Tl 204.38 Tl.upf
CELL_PARAMETERS angstrom
-2.206 3.964 3.413
-2.456 -1.512 4.890
2.522 1.217 4.939
ATOMIC_POSITIONS angstrom
La -0.535 0.917 3.310
Th 0.000 0.000 0.000
La -1.605 2.752 9.931
Tl -1.070 1.835 6.621

(15)
! PBE-GGA NaCuH2, optimized geometry; values from VASP
! Total DFT energy (no corrections) in eV/f.u.: -11.60
! Energy above the lowest structure with this stoichiometry in meV/atom: 226
! SG: No. 166
! Theoretical density in g cm⁻³: 3.76
&SYSTEM
  ibrav = 0, nat = 4, ntyp = 3
/
ATOMIC_SPECIES
Cu 63.55 Cu.upf
H 1.01 H.upf
Na 22.99 Na.upf
CELL_PARAMETERS angstrom
2.989 0.000 0.000
1.495 2.589 0.000
1.495 0.863 5.053
ATOMIC_POSITIONS angstrom
Cu 0.000 0.000 0.000
H 1.495 0.863 0.933
H 4.484 2.589 4.121
Na 2.989 1.726 2.527

(16)
! PBE-GGA XeF2, optimized geometry; values from VASP
! Total DFT energy (no corrections) in eV/f.u.: -5.26
! SG: No. 139
! Theoretical density in g cm⁻³: 3.86
! Formation energy without anion corrections in eV per formula unit: -1.49
&SYSTEM
  ibrav = 0, nat = 3, ntyp = 2
/
ATOMIC_SPECIES
F 19.00 F.upf
Xe 131.29 Xe.upf
CELL_PARAMETERS angstrom
4.808 -0.002 0.000
0.622 4.768 0.000
-2.715 -2.383 3.173
ATOMIC_POSITIONS angstrom
F 3.868 3.395 0.000
Xe 0.000 0.000 0.000
F 1.562 1.371 0.000

(17)
! PBE-GGA BPOs2, optimized geometry; values from VASP
! Total DFT energy (no corrections) in eV/f.u.: -33.18
! Energy above the lowest structure with this stoichiometry in meV/atom: 153
! SG: No. 122
! Theoretical density in g cm⁻³: 11.37
&SYSTEM
  ibrav = 0, nat = 8, ntyp = 3
/
ATOMIC_SPECIES
B 10.81 B.upf
Os 190.23 Os.upf
P 30.97 P.upf
CELL_PARAMETERS angstrom
-0.698 -4.443 2.233
4.819 -1.162 -0.805
3.257 -0.825 5.024
ATOMIC_POSITIONS angstrom
B 2.060 -2.803 0.714
Os 5.888 -5.484 5.045
Os 1.003 -2.981 2.477
P 0.000 0.000 0.000
Os 3.715 -1.636 1.107
Os 4.148 -2.759 4.277
B 5.068 -2.395 2.467
P 2.309 -4.035 3.986

(18)
! PBE-GGA LaPrEu2, optimized geometry; values from VASP
! Total DFT energy (no corrections) in eV/f.u.: -29.81
! Energy above the lowest structure with this stoichiometry in meV/atom: 52
! SG: No. 225
! Theoretical density in g cm⁻³: 6.27
&SYSTEM
  ibrav = 0, nat = 4, ntyp = 3
/
ATOMIC_SPECIES
Eu 151.96 Eu.upf
Pr 140.91 Pr.upf
La 138.91 La.upf
CELL_PARAMETERS angstrom
6.026 0.000 0.000
3.013 5.218 0.000
3.013 1.739 4.920
ATOMIC_POSITIONS angstrom
Eu 3.013 1.739 1.230
Pr 0.000 0.000 0.000
Eu 9.039 5.218 3.690
La 6.026 3.479 2.460

(19)
! PBE-GGA GaTeWSe2, optimized geometry; values from VASP
! Total DFT energy (no corrections) in eV/f.u.: -24.28
! SG: No. 123
! Theoretical density in g cm⁻³: 7.15
! Formation energy without anion corrections in eV per formula unit: 1.81
&SYSTEM
  ibrav = 0, nat = 5, ntyp = 4
/
ATOMIC_SPECIES
Se 78.96 Se.upf
Ga 69.72 Ga.upf
Te 127.60 Te.upf
W 183.84 W.upf
CELL_PARAMETERS angstrom
4.841 0.000 0.000
0.000 5.340 0.000
0.000 0.000 4.841
ATOMIC_POSITIONS angstrom
Se 0.000 0.000 2.420
Ga 0.000 2.670 0.000
Se 2.420 0.000 0.000
Te 2.420 2.670 2.420
W 0.000 0.000 0.000

(20)
! PBE-GGA TiPd2Pt6, optimized geometry; values from VASP
! Total DFT energy (no corrections) in eV/f.u.: -57.49
! SG: No. 12
! Theoretical density in g cm⁻³: 16.56
&SYSTEM
  ibrav = 0, nat = 9, ntyp = 3
/
ATOMIC_SPECIES
Pd 106.42 Pd.upf
Pt 195.08 Pt.upf
Ti 47.87 Ti.upf
CELL_PARAMETERS angstrom
3.891 0.057 0.477
1.523 5.259 2.837
0.122 -0.180 6.969
ATOMIC_POSITIONS angstrom
Pd 3.265 4.395 4.837
Pt 3.591 3.619 2.245
Ti 0.000 0.000 0.000
Pt 3.572 0.924 3.070
Pd 2.270 0.740 5.445
Pt 4.092 2.492 6.587
Pt 1.823 1.697 1.069
Pt 1.444 2.644 3.696
Pt 1.964 4.211 7.213